(1)
Compound: NiMo2Br
Source: the Alexandria database
Functional: PBE-GGA
Structure: optimized geometry

E_form (uncorrected): 0.694 eV per atom
Relative energy among the computed polymorphs: 7.84 kcal/mol of atoms
ρ: 9.3 Mg/m³
D(E_F): 3.24 states/eV per cell

Cell: 4.554 4.554 2.857 Å, 90.00 90.00 90.00°
Positions (direct):
Ni  0.000  0.000  0.000
Mo  0.000  0.500  0.500
Mo  0.500  0.000  0.500
Br  0.500  0.500  0.000

=====

(2)
Compound: Sm4In5Pt2
Source: the Alexandria database
Functional: PBE-GGA
Structure: optimized geometry

ρ: 9.1 Mg/m³
E_tot: -4.7741 eV per atom
D(E_F): 6.50 states/eV per cell

Cell: 7.802 3.726 9.843 Å, 90.00 94.27 90.00°
Positions (direct):
Sm  0.175  0.000  0.358
Sm  0.226  0.000  0.941
Sm  0.774  0.000  0.059
Sm  0.825  0.000  0.642
In  0.178  0.500  0.651
In  0.453  0.500  0.182
In  0.500  0.500  0.500
In  0.547  0.500  0.818
In  0.822  0.500  0.349
Pt  0.073  0.500  0.139
Pt  0.927  0.500  0.861

=====

(3)
Compound: KNa2LiTl
Source: the Alexandria database
Functional: PBE-GGA
Structure: optimized geometry

Relative energy among the computed polymorphs: 0.00 kcal/mol of atoms
ρ: 2.4 Mg/m³
D(E_F): 3.02 states/eV per cell

Cell: 6.028 6.028 5.529 Å, 90.00 90.00 90.00°
Positions (direct):
K  0.000  0.000  0.000
Na  0.000  0.500  0.500
Na  0.500  0.000  0.500
Li  0.500  0.500  0.000
Tl  0.500  0.500  0.500

=====

(4)
Compound: Mg2RhBr
Source: the Alexandria database
Functional: PBE-GGA
Structure: optimized geometry

E_form (uncorrected): 0.042 eV per atom
Relative energy among the computed polymorphs: 15.17 kcal/mol of atoms
ρ: 5.1 Mg/m³
D(E_F): 0.20 states/eV per cell

Cell: 4.749 4.749 4.749 Å, 60.00 60.00 60.00°
Positions (direct):
Mg  0.000  0.000  0.000
Mg  0.250  0.250  0.250
Rh  0.500  0.500  0.500
Br  0.750  0.750  0.750

=====

(5)
Compound: Dy5P2S2
Source: the Alexandria database
Functional: PBE-GGA
Structure: optimized geometry

E_form (uncorrected): -1.440 eV per atom
ρ: 8.1 Mg/m³
D(E_F): 14.57 states/eV per cell

Cell: 7.911 7.911 7.447 Å, 90.00 90.00 55.61°
Positions (direct):
Dy  0.000  0.000  0.000
Dy  0.024  0.704  0.654
Dy  0.204  0.524  0.154
Dy  0.296  0.976  0.654
Dy  0.476  0.796  0.154
Dy  0.500  0.500  0.500
Dy  0.524  0.204  0.846
Dy  0.704  0.024  0.346
Dy  0.796  0.476  0.846
Dy  0.976  0.296  0.346
P  0.145  0.855  0.356
P  0.355  0.645  0.856
P  0.645  0.355  0.144
P  0.855  0.145  0.644
S  0.196  0.196  0.000
S  0.304  0.304  0.500
S  0.696  0.696  0.500
S  0.804  0.804  0.000

=====

(6)
Compound: TaTc2HW
Source: the Alexandria database
Functional: PBE-GGA
Structure: optimized geometry

Relative energy among the computed polymorphs: 0.00 kcal/mol of atoms
ρ: 14.2 Mg/m³
D(E_F): 3.89 states/eV per cell

Cell: 4.049 4.049 4.000 Å, 90.00 90.00 90.00°
Positions (direct):
Ta  0.000  0.000  0.000
Tc  0.000  0.500  0.500
Tc  0.500  0.000  0.500
H  0.000  0.000  0.500
W  0.500  0.500  0.000

=====

(7)
Compound: InSiSb
Source: the Alexandria database
Functional: PBE-GGA
Structure: optimized geometry

E_form (uncorrected): 0.341 eV per atom
Relative energy among the computed polymorphs: 0.42 kcal/mol of atoms
ρ: 5.6 Mg/m³
D(E_F): 1.42 states/eV per cell

Cell: 4.812 4.812 4.812 Å, 60.00 60.00 60.00°
Positions (direct):
In  0.000  0.000  0.000
Si  0.750  0.750  0.750
Sb  0.500  0.500  0.500

=====

(8)
Compound: Ag3GeF7
Source: the Alexandria database
Functional: PBE-GGA
Structure: optimized geometry

E_form (uncorrected): -1.664 eV per atom
ρ: 5.2 Mg/m³

Cell: 5.727 5.727 5.956 Å, 112.02 112.02 81.71°
Positions (direct):
Ag  0.000  0.000  0.000
Ag  0.278  0.820  0.427
Ag  0.820  0.278  0.427
Ge  0.542  0.542  0.954
F  0.045  0.045  0.656
F  0.220  0.569  0.748
F  0.436  0.436  0.161
F  0.518  0.869  0.170
F  0.569  0.220  0.748
F  0.663  0.663  0.772
F  0.869  0.518  0.170

=====

(9)
Compound: MgGe2Pb2Au7
Source: the Alexandria database
Functional: PBE-GGA
Structure: optimized geometry

ρ: 11.8 Mg/m³
E_tot: -3.5525 eV per atom
D(E_F): 6.01 states/eV per cell

Cell: 4.184 4.184 16.008 Å, 97.53 97.53 89.83°
Positions (direct):
Mg  0.000  0.000  0.000
Ge  0.384  0.384  0.769
Ge  0.616  0.616  0.231
Pb  0.211  0.211  0.420
Pb  0.789  0.789  0.580
Au  0.066  0.566  0.131
Au  0.303  0.303  0.607
Au  0.434  0.934  0.869
Au  0.500  0.500  0.000
Au  0.566  0.066  0.131
Au  0.697  0.697  0.393
Au  0.934  0.434  0.869

=====

(10)
Compound: BeAsCl2
Source: the Alexandria database
Functional: PBE-GGA
Structure: optimized geometry

E_form (uncorrected): 0.032 eV per atom
Relative energy among the computed polymorphs: 12.88 kcal/mol of atoms
ρ: 2.6 Mg/m³
D(E_F): 1.10 states/eV per cell

Cell: 2.895 2.895 11.633 Å, 90.00 90.00 90.00°
Positions (direct):
Be  0.000  0.000  0.000
As  0.000  0.000  0.500
Cl  0.500  0.500  0.122
Cl  0.500  0.500  0.878

=====

(11)
Compound: TcAu2
Source: the Alexandria database
Functional: PBE-GGA
Structure: optimized geometry

Relative energy among the computed polymorphs: 5.25 kcal/mol of atoms
ρ: 15.5 Mg/m³
D(E_F): 1.83 states/eV per cell

Cell: 5.005 5.005 5.005 Å, 139.35 139.35 58.84°
Positions (direct):
Tc  0.000  0.000  0.000
Au  0.334  0.334  0.000
Au  0.666  0.666  0.000

=====

(12)
Compound: AlFeW2
Source: the Alexandria database
Functional: PBE-GGA
Structure: optimized geometry

ρ: 12.8 Mg/m³
E_tot: -9.4839 eV per atom
D(E_F): 3.27 states/eV per cell

Cell: 2.697 4.309 5.082 Å, 90.00 99.51 90.00°
Positions (direct):
Al  0.000  0.000  0.000
Fe  0.845  0.500  0.243
W  0.376  0.500  0.756
W  0.589  0.000  0.484

=====

(13)
Compound: PrHfSe4
Source: the Alexandria database
Functional: PBE-GGA
Structure: optimized geometry

E_form (uncorrected): -1.223 eV per atom
ρ: 5.8 Mg/m³
D(E_F): 10.20 states/eV per cell

Cell: 7.857 6.765 7.394 Å, 90.00 112.56 90.00°
Positions (direct):
Pr  0.000  0.000  0.000
Pr  0.000  0.500  0.500
Hf  0.500  0.000  0.500
Hf  0.500  0.500  0.000
Se  0.176  0.165  0.394
Se  0.176  0.335  0.894
Se  0.372  0.707  0.664
Se  0.372  0.793  0.164
Se  0.628  0.207  0.836
Se  0.628  0.293  0.336
Se  0.824  0.665  0.106
Se  0.824  0.835  0.606

=====

(14)
Compound: HoSc2P3
Source: the Alexandria database
Functional: PBE-GGA
Structure: optimized geometry

ρ: 4.8 Mg/m³
E_tot: -7.0891 eV per atom
D(E_F): 1.06 states/eV per cell

Cell: 6.641 6.641 6.641 Å, 146.43 131.60 60.19°
Positions (direct):
Ho  0.000  0.000  0.000
Sc  0.335  0.335  0.000
Sc  0.665  0.665  0.000
P  0.174  0.674  0.500
P  0.500  0.000  0.500
P  0.826  0.326  0.500

=====

(15)
Compound: Pr2Dy7Tm3
Source: the Alexandria database
Functional: PBE-GGA
Structure: optimized geometry

Relative energy among the computed polymorphs: 0.96 kcal/mol of atoms
ρ: 8.3 Mg/m³
D(E_F): 17.56 states/eV per cell

Cell: 19.086 19.086 3.606 Å, 90.00 90.00 162.88°
Positions (direct):
Pr  0.147  0.853  0.000
Pr  0.853  0.147  0.000
Dy  0.000  0.000  0.000
Dy  0.070  0.930  0.500
Dy  0.231  0.769  0.000
Dy  0.411  0.589  0.000
Dy  0.589  0.411  0.000
Dy  0.769  0.231  0.000
Dy  0.930  0.070  0.500
Tm  0.313  0.687  0.500
Tm  0.500  0.500  0.500
Tm  0.687  0.313  0.500

=====

(16)
Compound: Ba2TlIn6Ag
Source: the Alexandria database
Functional: PBE-GGA
Structure: optimized geometry

ρ: 6.5 Mg/m³
E_tot: -2.7412 eV per atom
D(E_F): 8.69 states/eV per cell

Cell: 14.455 14.455 14.455 Å, 29.48 29.48 29.48°
Positions (direct):
Ba  0.105  0.105  0.105
Ba  0.277  0.277  0.277
Ba  0.723  0.723  0.723
Ba  0.895  0.895  0.895
Tl  0.425  0.425  0.425
Tl  0.575  0.575  0.575
In  0.075  0.669  0.669
In  0.223  0.223  0.638
In  0.223  0.638  0.223
In  0.331  0.331  0.925
In  0.331  0.925  0.331
In  0.362  0.777  0.777
In  0.638  0.223  0.223
In  0.669  0.075  0.669
In  0.669  0.669  0.075
In  0.777  0.362  0.777
In  0.777  0.777  0.362
In  0.925  0.331  0.331
Ag  0.000  0.000  0.000
Ag  0.500  0.500  0.500

=====

(17)
Compound: La2Nd5
Source: the Alexandria database
Functional: PBE-GGA
Structure: optimized geometry

Relative energy among the computed polymorphs: 2.21 kcal/mol of atoms
ρ: 6.6 Mg/m³
D(E_F): 13.63 states/eV per cell

Cell: 9.149 9.149 9.149 Å, 37.26 37.26 37.26°
Positions (direct):
La  0.135  0.135  0.135
La  0.865  0.865  0.865
Nd  0.000  0.000  0.000
Nd  0.272  0.272  0.272
Nd  0.414  0.414  0.414
Nd  0.586  0.586  0.586
Nd  0.728  0.728  0.728

=====

(18)
Compound: HgSeBr2N
Source: the Alexandria database
Functional: PBE-GGA
Structure: optimized geometry

E_form (uncorrected): 0.908 eV per atom
Relative energy among the computed polymorphs: 0.00 kcal/mol of atoms
ρ: 7.2 Mg/m³
D(E_F): 2.67 states/eV per cell

Cell: 4.629 4.629 4.862 Å, 90.00 90.00 90.00°
Positions (direct):
Hg  0.000  0.000  0.000
Se  0.500  0.500  0.000
Br  0.000  0.500  0.500
Br  0.500  0.000  0.500
N  0.500  0.500  0.500

=====

(19)
Compound: La2PbW
Source: the Alexandria database
Functional: PBE-GGA
Structure: optimized geometry

ρ: 9.9 Mg/m³
E_tot: -6.2408 eV per atom
D(E_F): 4.73 states/eV per cell

Cell: 5.761 5.761 5.761 Å, 133.48 123.83 75.83°
Positions (direct):
La  0.218  0.218  0.000
La  0.782  0.782  0.000
Pb  0.500  0.000  0.500
W  0.000  0.500  0.500

=====

(20)
Compound: NpCuPtRh
Source: the Alexandria database
Functional: PBE-GGA
Structure: optimized geometry

ρ: 14.5 Mg/m³
E_tot: -7.8952 eV per atom
D(E_F): 6.82 states/eV per cell

Cell: 4.596 4.596 4.596 Å, 60.00 60.00 60.00°
Positions (direct):
Np  0.000  0.000  0.000
Cu  0.500  0.500  0.500
Pt  0.250  0.250  0.250
Rh  0.750  0.750  0.750